Er2HgO | PBE-GGA | relaxed

Symmetry: R-3m, No. 166
E_tot, eV per atom: -4.819
Density of states at the Fermi level, states/eV/cell: 2.4
E_form (uncorrected), eV/atom: -1.2225

CIF file:
```
data_Er2HgO
_cell_length_a 3.463
_cell_length_b 3.463
_cell_length_c 8.927
_cell_angle_alpha 78.82
_cell_angle_beta 78.82
_cell_angle_gamma 60.00
_symmetry_space_group_name_H-M 'P 1'
_symmetry_Int_Tables_number 1
loop_
_symmetry_equiv_pos_as_xyz
'x,y,z'
loop_
_atom_site_label
_atom_site_type_symbol
_atom_site_fract_x
_atom_site_fract_y
_atom_site_fract_z
_atom_site_occupancy
Hg1 Hg 0.000 0.000 0.000 1
O1 O 0.500 0.500 0.500 1
Er1 Er 0.884 0.884 0.349 1
Er2 Er 0.116 0.116 0.651 1
```

Tb5DyAl6 | PBE-GGA | relaxed

Symmetry: P2/m, No. 10
E_tot, eV per atom: -4.581
Density of states at the Fermi level, states/eV/cell: 4.4
Calculated formation energy, eV per atom: -0.397

CIF file:
```
data_Tb5DyAl6
_cell_length_a 5.101
_cell_length_b 7.242
_cell_length_c 8.066
_cell_angle_alpha 90.00
_cell_angle_beta 71.69
_cell_angle_gamma 90.00
_symmetry_space_group_name_H-M 'P 1'
_symmetry_Int_Tables_number 1
loop_
_symmetry_equiv_pos_as_xyz
'x,y,z'
loop_
_atom_site_label
_atom_site_type_symbol
_atom_site_fract_x
_atom_site_fract_y
_atom_site_fract_z
_atom_site_occupancy
Al1 Al 0.500 0.751 0.000 1
Dy1 Dy 0.000 0.000 0.000 1
Al2 Al 0.500 0.249 0.000 1
Tb1 Tb 0.333 0.000 0.333 1
Al3 Al 0.834 0.751 0.333 1
Tb2 Tb 0.000 0.500 0.000 1
Tb3 Tb 0.667 0.500 0.666 1
Tb4 Tb 0.333 0.500 0.334 1
Al4 Al 0.166 0.751 0.667 1
Al5 Al 0.166 0.249 0.667 1
Tb5 Tb 0.667 0.000 0.667 1
Al6 Al 0.834 0.249 0.333 1
```

NaIn3Te | PBE-GGA | relaxed

Symmetry: Pm-3m, No. 221
E_tot, eV per atom: -2.230
Density of states at the Fermi level, states/eV/cell: 3.6
E_form (uncorrected), eV/atom: 0.3057

CIF file:
```
data_NaIn3Te
_cell_length_a 6.066
_cell_length_b 6.066
_cell_length_c 6.066
_cell_angle_alpha 90.00
_cell_angle_beta 90.00
_cell_angle_gamma 90.00
_symmetry_space_group_name_H-M 'P 1'
_symmetry_Int_Tables_number 1
loop_
_symmetry_equiv_pos_as_xyz
'x,y,z'
loop_
_atom_site_label
_atom_site_type_symbol
_atom_site_fract_x
_atom_site_fract_y
_atom_site_fract_z
_atom_site_occupancy
In1 In 0.000 0.000 0.500 1
In2 In 0.500 0.000 0.000 1
Te1 Te 0.000 0.000 0.000 1
In3 In 0.000 0.500 0.000 1
Na1 Na 0.500 0.500 0.500 1
```

Ba5Ta4O15 | PBE-GGA | relaxed

Symmetry: P-3m1, No. 164
E_tot, eV per atom: -8.479
Density of states at the Fermi level, states/eV/cell: 0.0
E_form (uncorrected), eV/atom: -3.0045

CIF file:
```
data_Ba5Ta4O15
_cell_length_a 5.860
_cell_length_b 5.860
_cell_length_c 12.000
_cell_angle_alpha 90.00
_cell_angle_beta 90.00
_cell_angle_gamma 120.00
_symmetry_space_group_name_H-M 'P 1'
_symmetry_Int_Tables_number 1
loop_
_symmetry_equiv_pos_as_xyz
'x,y,z'
loop_
_atom_site_label
_atom_site_type_symbol
_atom_site_fract_x
_atom_site_fract_y
_atom_site_fract_z
_atom_site_occupancy
O1 O 0.837 0.674 0.385 1
O2 O 0.831 0.662 0.810 1
Ba1 Ba 0.333 0.667 0.432 1
O3 O 0.500 0.500 0.000 1
Ta1 Ta 0.333 0.667 0.103 1
Ta2 Ta 0.667 0.333 0.897 1
Ba2 Ba 0.000 0.000 0.000 1
O4 O 0.674 0.837 0.615 1
Ba3 Ba 0.667 0.333 0.211 1
O5 O 0.163 0.326 0.615 1
O6 O 0.000 0.500 0.000 1
O7 O 0.326 0.163 0.385 1
Ta3 Ta 0.000 0.000 0.687 1
Ta4 Ta 0.000 0.000 0.313 1
O8 O 0.831 0.169 0.810 1
O9 O 0.500 0.000 0.000 1
O10 O 0.163 0.837 0.615 1
O11 O 0.662 0.831 0.190 1
O12 O 0.169 0.831 0.190 1
O13 O 0.338 0.169 0.810 1
O14 O 0.837 0.163 0.385 1
Ba4 Ba 0.667 0.333 0.568 1
Ba5 Ba 0.333 0.667 0.789 1
O15 O 0.169 0.338 0.190 1
```